The following is a DFT calculation (PBE-GGA) of a relaxed structure of Li2NdPd4.

a = 5.185 Å, b = 5.499 Å, c = 5.499 Å
α = 77.16°, β = 61.87°, γ = 61.87°
Positions (direct):
Nd1 0.000 0.000 0.000
Pd1 0.699 0.601 0.000
Pd2 0.699 0.000 0.601
Pd3 0.301 0.399 0.000
Pd4 0.301 0.000 0.399
Li1 0.250 0.500 0.500
Li2 0.750 0.500 0.500

Properties
E: -4.723 eV/atom
ΔH_f (0 K): -0.53 eV per atom

=====

The following is a DFT calculation (PBE-GGA) of a relaxed structure of La2ScFeHg.

a = 5.219 Å, b = 5.219 Å, c = 4.993 Å
α = 90.00°, β = 90.00°, γ = 90.00°
Positions (direct):
Hg1 0.500 0.500 0.500
Fe1 0.000 0.000 0.000
La1 0.000 0.500 0.000
La2 0.500 0.000 0.000
Sc1 0.000 0.000 0.500

Properties
E: -5.097 eV/atom
ΔH_f (0 K): -0.11 eV per atom

=====

The following is a DFT calculation (PBE-GGA) of a relaxed structure of LiPaCrS4.

a = 7.322 Å, b = 7.450 Å, c = 7.450 Å
α = 66.02°, β = 60.57°, γ = 60.57°
Site moments in Bohr magnetons follow the coordinates.
Positions (direct):
Cr1 0.000 0.000 0.500  3.17
Cr2 0.500 0.000 0.500  3.17
Pa1 0.000 0.500 0.500  0.63
Pa2 0.000 0.000 0.000  0.63
S1 0.740 0.803 0.716  -0.06
S2 0.260 0.784 0.697  -0.06
S3 0.241 0.749 0.249  -0.04
S4 0.740 0.216 0.303  -0.06
S5 0.260 0.197 0.284  -0.06
S6 0.761 0.749 0.249  -0.04
S7 0.239 0.251 0.751  -0.04
S8 0.759 0.251 0.751  -0.04
Li1 0.654 0.596 0.096  0.01
Li2 0.346 0.404 0.904  0.01

Properties
E: -6.602 eV/atom
formation energy (no corrections): -1239 meV/atom

=====

| no. | calculated volume (A^3/atom) | mass density (g cm⁻³) |
| --- | --- | --- |
| 1 | 17.42 | 7.95 |
| 2 | 27.20 | 7.07 |
| 3 | 21.49 | 4.62 |